! La2Tb12Ho | Alexandria | PBE-GGA | optimized geometry; values from VASP
! ΔE_f: 0.16 eV/atom
! SG: No. 67
! Total energy: -4.509 eV per atom
&SYSTEM
  ibrav = 0, nat = 30, ntyp = 3
/
ATOMIC_SPECIES
La 138.91 La.upf
Tb 158.93 Tb.upf
Ho 164.93 Ho.upf
ATOMIC_POSITIONS angstrom
La 3.567 2.853 5.790
La 3.567 2.853 19.134
La 3.567 -2.853 5.784
La 3.567 -2.853 19.128
Tb 3.567 5.705 10.554
Tb 3.567 -5.705 14.364
Tb 5.350 -2.853 9.365
Tb 1.784 2.853 15.553
Tb 1.788 2.853 2.097
Tb 3.567 5.697 23.370
Tb 1.784 0.000 4.310
Tb 1.784 0.000 7.540
Tb 1.784 0.000 17.378
Tb 1.784 0.000 20.607
Tb 3.567 0.008 23.370
Tb 5.346 2.853 2.097
Tb 1.784 -2.853 9.365
Tb 5.350 2.853 15.553
Tb 3.567 0.000 10.554
Tb 3.567 0.000 14.364
Tb 1.788 -2.853 22.821
Tb 3.567 -0.008 1.548
Tb 5.351 0.000 4.310
Tb 5.351 0.000 7.540
Tb 5.351 0.000 17.378
Tb 5.351 0.000 20.607
Tb 3.567 -5.697 1.548
Tb 5.346 -2.853 22.821
Ho 3.567 2.853 12.459
Ho 3.567 -2.853 12.459
CELL_PARAMETERS angstrom
3.567 -5.705 0.000
3.567 5.705 0.000
0.000 0.000 24.918


! RbLa2Ru2 | Alexandria | PBE-GGA | optimized geometry; values from VASP
! ΔE_f: 0.30 eV/atom
! SG: No. 139
! Total energy: -5.571 eV per atom
! Excess energy over the best structure of this formula in the dataset: 34 meV per atom
&SYSTEM
  ibrav = 0, nat = 5, ntyp = 3
/
ATOMIC_SPECIES
Rb 85.47 Rb.upf
La 138.91 La.upf
Ru 101.07 Ru.upf
ATOMIC_POSITIONS angstrom
Rb 0.000 0.000 0.000
La 2.517 0.000 2.687
La 0.000 2.517 2.687
Ru 0.000 0.000 4.049
Ru 0.000 0.000 6.699
CELL_PARAMETERS angstrom
-2.517 2.517 5.374
2.517 -2.517 5.374
2.517 2.517 -5.374


! KOsF4 | Alexandria | PBE-GGA | optimized geometry; values from VASP
! SG: No. 119
! Energy relative to the elements, uncorrected: -10.92 eV per formula unit
! Total energy: -5.122 eV per atom
&SYSTEM
  ibrav = 0, nat = 6, ntyp = 3
/
ATOMIC_SPECIES
K 39.10 K.upf
Os 190.23 Os.upf
F 19.00 F.upf
ATOMIC_POSITIONS angstrom
K 0.000 0.000 0.000
Os 3.325 0.000 1.549
F 1.964 -1.361 1.549
F 4.687 -1.361 1.549
F 1.964 1.361 1.549
F 4.687 1.361 1.549
CELL_PARAMETERS angstrom
-3.325 3.325 3.098
3.325 -3.325 3.098
3.325 3.325 -3.098


! PaPI | Alexandria | PBE-GGA | optimized geometry; values from VASP
! SG: No. 63
! Energy relative to the elements, uncorrected: -1.44 eV per formula unit
! Total energy: -5.966 eV per atom
! Excess energy over the best structure of this formula in the dataset: 469 meV per atom
&SYSTEM
  ibrav = 0, nat = 6, ntyp = 3
/
ATOMIC_SPECIES
Pa 231.04 Pa.upf
P 30.97 P.upf
I 126.90 I.upf
ATOMIC_POSITIONS angstrom
Pa 1.926 3.988 8.011
Pa 1.926 -3.988 2.670
P 1.926 2.444 2.670
P 1.926 -2.444 8.011
I 1.926 0.000 0.000
I 1.926 0.000 5.341
CELL_PARAMETERS angstrom
1.926 -4.551 0.000
1.926 4.551 0.000
0.000 0.000 10.682


! ErPaH3 | Alexandria | PBE-GGA | optimized geometry; values from VASP
! SG: No. 221
! Total energy: -4.917 eV per atom
&SYSTEM
  ibrav = 0, nat = 5, ntyp = 3
/
ATOMIC_SPECIES
Er 167.26 Er.upf
Pa 231.04 Pa.upf
H 1.01 H.upf
ATOMIC_POSITIONS angstrom
Er 0.000 0.000 0.000
Pa 2.060 2.060 2.060
H 0.000 2.060 2.060
H 2.060 0.000 2.060
H 2.060 2.060 0.000
CELL_PARAMETERS angstrom
4.121 0.000 0.000
0.000 4.121 0.000
0.000 0.000 4.121


! YAg3Br6 | Alexandria | PBE-GGA | optimized geometry; values from VASP
! SG: No. 2
! Energy relative to the elements, uncorrected: -8.82 eV per formula unit
! Total energy: -3.387 eV per atom
&SYSTEM
  ibrav = 0, nat = 10, ntyp = 3
/
ATOMIC_SPECIES
Y 88.91 Y.upf
Ag 107.87 Ag.upf
Br 79.90 Br.upf
ATOMIC_POSITIONS angstrom
Y 0.000 0.000 0.000
Ag 1.828 3.502 0.000
Ag 3.948 0.000 0.000
Ag 7.724 4.681 3.371
Br 7.460 6.981 5.201
Br 5.628 3.412 4.799
Br 5.810 5.940 1.510
Br 9.639 3.422 5.231
Br 9.821 5.950 1.942
Br 7.989 2.381 1.540
CELL_PARAMETERS angstrom
7.896 0.000 0.000
3.657 7.004 0.000
3.895 2.358 6.741


! Li2ReNi | Alexandria | PBE-GGA | optimized geometry; values from VASP
! ΔE_f: 0.19 eV/atom
! SG: No. 47
! Total energy: -5.323 eV per atom
! Excess energy over the best structure of this formula in the dataset: 82 meV per atom
&SYSTEM
  ibrav = 0, nat = 4, ntyp = 3
/
ATOMIC_SPECIES
Li 6.94 Li.upf
Re 186.21 Re.upf
Ni 58.69 Ni.upf
ATOMIC_POSITIONS angstrom
Li 0.000 0.000 0.000
Li 1.280 2.212 0.000
Re 0.000 2.212 2.303
Ni 1.280 0.000 2.303
CELL_PARAMETERS angstrom
2.560 0.000 0.000
0.000 4.423 0.000
0.000 0.000 4.606


! RhPbF2 | Alexandria | PBE-GGA | optimized geometry; values from VASP
! SG: No. 225
! Energy relative to the elements, uncorrected: -3.07 eV per formula unit
! Total energy: -4.468 eV per atom
! Excess energy over the best structure of this formula in the dataset: 187 meV per atom
&SYSTEM
  ibrav = 0, nat = 4, ntyp = 3
/
ATOMIC_SPECIES
Rh 102.91 Rh.upf
Pb 207.20 Pb.upf
F 19.00 F.upf
ATOMIC_POSITIONS angstrom
Rh 0.000 0.000 0.000
Pb 3.138 3.138 3.138
F 1.569 1.569 1.569
F 4.707 4.707 4.707
CELL_PARAMETERS angstrom
0.000 3.138 3.138
3.138 0.000 3.138
3.138 3.138 0.000


! Ag2P3Pt9 | Alexandria | PBE-GGA | optimized geometry; values from VASP
! ΔE_f: -0.22 eV/atom
! SG: No. 2
! Total energy: -5.670 eV per atom
&SYSTEM
  ibrav = 0, nat = 28, ntyp = 3
/
ATOMIC_SPECIES
Ag 107.87 Ag.upf
P 30.97 P.upf
Pt 195.08 Pt.upf
ATOMIC_POSITIONS angstrom
Ag 2.207 2.328 1.982
Ag 4.685 2.234 6.154
Ag 9.254 6.998 2.177
Ag 11.733 6.903 6.349
P 3.182 4.616 4.166
P 6.478 7.279 8.225
P 6.435 7.246 4.243
P 3.788 0.000 0.000
P 7.505 1.985 4.088
P 7.462 1.953 0.107
Pt 4.146 6.895 3.597
Pt 4.321 7.002 0.584
Pt 5.330 4.616 7.539
Pt 4.094 4.455 1.955
Pt 5.499 4.513 4.531
Pt 7.095 6.244 6.239
Pt 4.650 2.016 3.377
Pt 6.564 6.081 2.201
Pt 4.611 2.176 0.366
Pt 9.329 7.055 7.965
Pt 7.376 3.150 6.130
Pt 9.290 7.215 4.954
Pt 6.844 2.988 2.092
Pt 8.441 4.718 3.800
Pt 9.846 4.776 6.376
Pt 8.610 4.615 0.792
Pt 9.619 2.229 7.748
Pt 9.794 2.336 4.734
CELL_PARAMETERS angstrom
7.576 0.000 0.000
3.008 6.988 0.000
3.357 2.243 8.331


! MgBe2SnC | Alexandria | PBE-GGA | optimized geometry; values from VASP
! ΔE_f: 0.46 eV/atom
! SG: No. 123
! Total energy: -3.994 eV per atom
! Excess energy over the best structure of this formula in the dataset: 0 meV per atom
&SYSTEM
  ibrav = 0, nat = 5, ntyp = 4
/
ATOMIC_SPECIES
Mg 24.30 Mg.upf
Be 9.01 Be.upf
Sn 118.71 Sn.upf
C 12.01 C.upf
ATOMIC_POSITIONS angstrom
Mg 0.000 0.000 0.000
Be 0.000 1.911 2.310
Be 1.911 0.000 2.310
Sn 1.911 1.911 0.000
C 0.000 0.000 2.310
CELL_PARAMETERS angstrom
3.821 0.000 0.000
0.000 3.821 0.000
0.000 0.000 4.620


! Al2InCl | Alexandria | PBE-GGA | optimized geometry; values from VASP
! SG: No. 166
! Energy relative to the elements, uncorrected: -0.08 eV per formula unit
! Total energy: -3.039 eV per atom
! Excess energy over the best structure of this formula in the dataset: 191 meV per atom
&SYSTEM
  ibrav = 0, nat = 4, ntyp = 3
/
ATOMIC_SPECIES
Al 26.98 Al.upf
In 114.82 In.upf
Cl 35.45 Cl.upf
ATOMIC_POSITIONS angstrom
Al 0.000 0.000 6.738
Al 0.000 0.000 20.932
In 0.000 0.000 0.000
Cl 0.000 0.000 13.835
CELL_PARAMETERS angstrom
1.639 0.946 9.223
-1.639 0.946 9.223
0.000 -1.893 9.223


! ReAuN2 | Alexandria | PBE-GGA | optimized geometry; values from VASP
! SG: No. 166
! Energy relative to the elements, uncorrected: 5.05 eV per formula unit
! Total energy: -6.831 eV per atom
! Excess energy over the best structure of this formula in the dataset: 936 meV per atom
&SYSTEM
  ibrav = 0, nat = 4, ntyp = 3
/
ATOMIC_SPECIES
Re 186.21 Re.upf
Au 196.97 Au.upf
N 14.01 N.upf
ATOMIC_POSITIONS angstrom
Re 0.000 0.000 0.000
Au 0.000 0.000 9.677
N 0.000 0.000 1.892
N 0.000 0.000 17.461
CELL_PARAMETERS angstrom
1.529 0.883 6.451
-1.529 0.883 6.451
0.000 -1.765 6.451